1.
Entry from the Alexandria database: CoRuPt4 after structural relaxation (GGA-PBE).

Values from the calculation:
- Energy of formation: 0.436 eV per atom

Lattice parameters (Å, degrees): 7.3392 7.3392 7.3392 90.00 90.00 90.00
Space group F-43m (No. 216)
Inequivalent atoms, fractional coordinates:
Co (0.0000, 0.0000, 0.0000) x4
Ru (0.2500, 0.2500, 0.2500) x4
Pt (0.1251, 0.1251, 0.6251) x16

2.
Entry from the Alexandria database: SmY4Tm15 after structural relaxation (GGA-PBE).

Values from the calculation:
- Energy of formation: 0.029 eV per atom

Lattice parameters (Å, degrees): 4.9640 4.9640 24.8335 90.00 90.00 90.00
Space group P4/mmm (No. 123)
Inequivalent atoms, fractional coordinates:
Sm (0.0000, 0.0000, 0.0000) x1
Y (0.0000, 0.0000, 0.2001) x2
Y (0.0000, 0.0000, 0.4001) x2
Tm (0.0000, 0.5000, 0.1003) x4
Tm (0.0000, 0.5000, 0.3001) x4
Tm (0.0000, 0.5000, 0.5000) x2
Tm (0.5000, 0.5000, 0.0000) x1
Tm (0.5000, 0.5000, 0.2004) x2
Tm (0.5000, 0.5000, 0.4000) x2

3.
Entry from the Alexandria database: BaPb2IO6 after structural relaxation (GGA-PBE).

Values from the calculation:
- VASP energy: -5.181 eV per atom

Lattice parameters (Å, degrees): 5.8335 6.8034 10.5482 90.00 122.75 90.00
Space group P2_1/c (No. 14)
Inequivalent atoms, fractional coordinates:
Ba (0.0000, 0.0000, 0.0000) x2
Pb (0.2102, 0.0442, 0.7194) x4
I (0.5000, 0.0000, 0.5000) x2
O (0.1803, 0.1495, 0.4856) x4
O (0.2463, 0.7330, 0.9083) x4
O (0.3953, 0.0904, 0.2912) x4

4.
Entry from the Alexandria database: SiSe2Br after structural relaxation (GGA-PBE).

Values from the calculation:
- VASP energy: -3.389 eV per atom

Lattice parameters (Å, degrees): 10.4643 3.4247 5.6740 90.00 103.50 90.00
Space group C2/m (No. 12)
Inequivalent atoms, fractional coordinates:
Si (0.0000, 0.0000, 0.0000) x2
Se (0.1686, 0.5000, 0.1387) x4
Br (0.0000, 0.5000, 0.5000) x2

5.
Entry from the Alexandria database: BeGe3As after structural relaxation (GGA-PBE).

Values from the calculation:
- Energy of formation: 1.174 eV per atom

Lattice parameters (Å, degrees): 5.0028 5.0028 5.0028 90.00 90.00 90.00
Space group Pm-3m (No. 221)
Inequivalent atoms, fractional coordinates:
Be (0.0000, 0.0000, 0.0000) x1
Ge (0.0000, 0.5000, 0.5000) x3
As (0.5000, 0.5000, 0.5000) x1

6.
Entry from the Alexandria database: BeZn2CrIn after structural relaxation (GGA-PBE).

Values from the calculation:
- Energy of formation: 1.590 eV per atom

Lattice parameters (Å, degrees): 4.9618 4.9618 4.4385 90.00 90.00 90.00
Space group P4/mmm (No. 123)
Inequivalent atoms, fractional coordinates:
Be (0.0000, 0.0000, 0.0000) x1
Zn (0.0000, 0.5000, 0.5000) x2
Cr (0.5000, 0.5000, 0.0000) x1
In (0.0000, 0.0000, 0.5000) x1

7.
Entry from the Alexandria database: Li3TcBr after structural relaxation (GGA-PBE).

Values from the calculation:
- VASP energy: -2.869 eV per atom

Lattice parameters (Å, degrees): 5.1815 5.1815 5.1815 90.00 90.00 90.00
Space group Pm-3m (No. 221)
Inequivalent atoms, fractional coordinates:
Li (0.0000, 0.0000, 0.5000) x3
Tc (0.0000, 0.0000, 0.0000) x1
Br (0.5000, 0.5000, 0.5000) x1

8.
Entry from the Alexandria database: BaGa3Ge after structural relaxation (GGA-PBE).

Values from the calculation:
- Energy of formation: -0.016 eV per atom

Lattice parameters (Å, degrees): 5.1983 5.1983 5.1983 90.00 90.00 90.00
Space group Pm-3m (No. 221)
Inequivalent atoms, fractional coordinates:
Ba (0.0000, 0.0000, 0.0000) x1
Ga (0.0000, 0.5000, 0.5000) x3
Ge (0.5000, 0.5000, 0.5000) x1

9.
Entry from the Alexandria database: CsSr2Pd after structural relaxation (GGA-PBE).

Values from the calculation:
- Energy of formation: 0.139 eV per atom

Lattice parameters (Å, degrees): 8.4540 8.4540 8.4540 90.00 90.00 90.00
Space group Fm-3m (No. 225)
Inequivalent atoms, fractional coordinates:
Cs (0.0000, 0.0000, 0.0000) x4
Sr (0.2500, 0.2500, 0.2500) x8
Pd (0.0000, 0.0000, 0.5000) x4

10.
Entry from the Alexandria database: PrPa2Bi5 after structural relaxation (GGA-PBE).

Values from the calculation:
- Energy of formation: -0.254 eV per atom

Lattice parameters (Å, degrees): 8.3493 13.4042 4.5288 90.00 90.00 90.00
Space group Pbam (No. 55)
Inequivalent atoms, fractional coordinates:
Pr (0.0000, 0.0000, 0.0000) x2
Pa (0.1016, 0.3177, 0.5000) x4
Bi (0.0000, 0.5000, 0.0000) x2
Bi (0.1309, 0.7782, 0.0000) x4
Bi (0.2443, 0.0771, 0.5000) x4

11.
Entry from the Alexandria database: Na2SrThTe4 after structural relaxation (GGA-PBE).

Values from the calculation:
- VASP energy: -4.313 eV per atom

Lattice parameters (Å, degrees): 7.9646 4.6396 8.0548 90.00 109.16 90.00
Space group P2/m (No. 10)
Inequivalent atoms, fractional coordinates:
Na (0.0000, 0.0000, 0.0000) x1
Na (0.0000, 0.5000, 0.5000) x1
Sr (0.5000, 0.0000, 0.5000) x1
Th (0.5000, 0.5000, 0.0000) x1
Te (0.2577, 0.5000, 0.2357) x2
Te (0.2616, 0.0000, 0.7681) x2

12.
Entry from the Alexandria database: NaNbSN2 after structural relaxation (GGA-PBE).

Values from the calculation:
- VASP energy: -4.574 eV per atom

Lattice parameters (Å, degrees): 4.0342 4.0342 4.7100 90.00 90.00 90.00
Space group P4/mmm (No. 123)
Inequivalent atoms, fractional coordinates:
Na (0.0000, 0.0000, 0.0000) x1
Nb (0.5000, 0.5000, 0.5000) x1
S (0.0000, 0.0000, 0.5000) x1
N (0.0000, 0.5000, 0.0000) x2

13.
Entry from the Alexandria database: In4Ga3I8 after structural relaxation (GGA-PBE).

Values from the calculation:
- VASP energy: -2.550 eV per atom

Lattice parameters (Å, degrees): 13.2977 13.3602 9.4454 90.00 134.64 90.00
Space group C2/m (No. 12)
Inequivalent atoms, fractional coordinates:
In (0.0000, 0.0000, 0.0000) x2
In (0.0000, 0.5000, 0.5000) x2
In (0.2500, 0.2500, 0.0000) x4
Ga (0.0000, 0.0000, 0.5000) x2
Ga (0.2500, 0.2500, 0.5000) x4
I (0.0000, 0.2451, 0.5000) x4
I (0.0000, 0.2561, 0.0000) x4
I (0.2474, 0.0000, 0.5059) x4
I (0.2481, 0.5000, 0.0105) x4

14.
Entry from the Alexandria database: CrCdCu3 after structural relaxation (GGA-PBE).

Values from the calculation:
- Energy of formation: 1.064 eV per atom

Lattice parameters (Å, degrees): 4.6020 4.6020 4.6020 90.00 90.00 90.00
Space group Pm-3m (No. 221)
Inequivalent atoms, fractional coordinates:
Cr (0.0000, 0.0000, 0.0000) x1
Cd (0.5000, 0.5000, 0.5000) x1
Cu (0.0000, 0.0000, 0.5000) x3

15.
Entry from the Alexandria database: TmScZn4 after structural relaxation (GGA-PBE).

Values from the calculation:
- Energy of formation: -0.330 eV per atom

Lattice parameters (Å, degrees): 7.5387 7.5387 7.5387 90.00 90.00 90.00
Space group F-43m (No. 216)
Inequivalent atoms, fractional coordinates:
Tm (0.0000, 0.0000, 0.0000) x4
Sc (0.2500, 0.2500, 0.7500) x4
Zn (0.1247, 0.1247, 0.3753) x16

16.
Entry from the Alexandria database: CuP2HS after structural relaxation (GGA-PBE).

Values from the calculation:
- VASP energy: -3.189 eV per atom

Lattice parameters (Å, degrees): 4.5092 4.5092 4.6035 90.00 90.00 90.00
Space group P4/mmm (No. 123)
Inequivalent atoms, fractional coordinates:
Cu (0.0000, 0.0000, 0.0000) x1
P (0.0000, 0.5000, 0.0000) x2
H (0.5000, 0.5000, 0.5000) x1
S (0.0000, 0.0000, 0.5000) x1

17.
Entry from the Alexandria database: La3Ag2Sn4 after structural relaxation (GGA-PBE).

Values from the calculation:
- Energy of formation: -0.643 eV per atom

Lattice parameters (Å, degrees): 11.7967 4.8156 9.2408 90.00 108.09 90.00
Space group C2/m (No. 12)
Inequivalent atoms, fractional coordinates:
La (0.0000, 0.0000, 0.0000) x2
La (0.1357, 0.5000, 0.6882) x4
Ag (0.1817, 0.5000, 0.3568) x4
Sn (0.0741, 0.0000, 0.3936) x4
Sn (0.2057, 0.5000, 0.0640) x4

18.
Entry from the Alexandria database: CaZnCu after structural relaxation (GGA-PBE).

Values from the calculation:
- Energy of formation: -0.202 eV per atom

Lattice parameters (Å, degrees): 10.8872 4.2980 5.5830 90.00 106.45 90.00
Space group C2/m (No. 12)
Inequivalent atoms, fractional coordinates:
Ca (0.1119, 0.0000, 0.3039) x4
Zn (0.1003, 0.5000, 0.7174) x4
Cu (0.2173, 0.0000, 0.8762) x4

19.
Entry from the Alexandria database: Ho3Tm7 after structural relaxation (GGA-PBE).

Values from the calculation:
- Energy of formation: 0.202 eV per atom

Lattice parameters (Å, degrees): 10.6211 10.6211 6.3129 90.00 90.00 120.00
Space group P6_3mc (No. 186)
Inequivalent atoms, fractional coordinates:
Ho (0.2068, 0.4136, 0.0000) x6
Tm (0.0580, 0.5290, 0.3468) x6
Tm (0.1204, 0.2408, 0.5169) x6
Tm (0.3333, 0.6667, 0.6481) x2

20.
Entry from the Alexandria database: TlSn3 after structural relaxation (GGA-PBE).

Values from the calculation:
- Energy of formation: 0.100 eV per atom

Lattice parameters (Å, degrees): 7.7136 7.7136 7.7136 90.00 90.00 90.00
Space group Fm-3m (No. 225)
Inequivalent atoms, fractional coordinates:
Tl (0.0000, 0.0000, 0.0000) x4
Sn (0.0000, 0.0000, 0.5000) x4
Sn (0.2500, 0.2500, 0.2500) x8

V (computed, Å³ per atom): 16.47; 30.60; 17.60; 24.72; 25.04; 21.85; 27.82; 28.09; 37.76; 31.68; 35.14; 15.33; 39.80; 19.49; 17.85; 18.72; 27.72; 20.88; 30.84; 28.68